VASP calculation (meta-GGA SCAN) on a PBEsol-optimized structure of Ag5Au4.

Output
formation energy from the elements = -0.0057 eV per atom
polymorph energy (0 for the lowest one) = 0.595 eV/f.u.

a = 5.528 Å, b = 8.006 Å, c = 8.006 Å
α = 120.00°, β = 90.00°, γ = 90.00°
Atoms (fractional coordinates):
Ag1 0.500 0.333 0.667
Ag2 0.500 0.667 0.333
Ag3 0.250 0.000 0.323
Ag4 0.250 0.677 0.677
Ag5 0.250 0.323 0.000
Au1 0.250 0.655 0.000
Au2 0.750 0.000 0.345
Ag6 0.000 0.333 0.667
Ag7 0.750 0.000 0.677
Ag8 0.750 0.677 0.000
Au3 0.000 0.000 0.000
Au4 0.750 0.655 0.655
Ag9 0.000 0.667 0.333
Au5 0.250 0.000 0.655
Ag10 0.750 0.323 0.323
Au6 0.500 0.000 0.000
Au7 0.750 0.345 0.000
Au8 0.250 0.345 0.345